# 1
The following is a DFT calculation (PBE-GGA) of a relaxed structure of InHg4Pb.

Cell and atoms, written as POSCAR:
```
InHg4Pb
1.0
4.788 -0.665 3.283
0.627 3.236 -0.279
-1.486 -1.659 10.171
Hg In Pb
4 1 1
Cartesian
3.008 0.936 10.946
3.593 1.292 3.804
0.921 -0.025 2.229
0.337 -0.381 9.371
1.651 -1.162 6.727
-0.429 0.788 4.946
```

Output
Its formation energy is 0.021 eV per atom. As for the offset from the most stable computed form: 0 meV/atom. The value obtained for the calculated volume is 28.6 A^3/atom. The total magnetization comes out at 0.00 Bohr magnetons per cell. Its total energy is -1.255 eV per atom.

***

# 2
The following is a DFT calculation (PBE-GGA) of a relaxed structure of OsPt2Pb.

Cell and atoms, written as POSCAR:
```
OsPt2Pb
1.0
4.975 0.008 0.000
1.518 4.738 0.000
-3.247 -2.373 2.930
Pt Os Pb
2 1 1
Cartesian
3.247 2.373 0.000
0.000 0.000 0.000
0.759 2.369 1.465
2.488 0.004 1.465
```

Output
Its formation energy is 0.528 eV per atom. The value obtained for the calculated volume is 17.3 A^3/atom. The total magnetization comes out at 0.00 Bohr magnetons per cell. Its total energy is -6.227 eV per atom.

***

# 3
The following is a DFT calculation (PBE-GGA) of a relaxed structure of SrErW2N6.

Cell and atoms, written as POSCAR:
```
SrErW2N6
1.0
6.539 0.093 0.097
2.198 7.359 0.213
2.198 -0.060 7.362
Sr W N Er
2 4 12 2
Cartesian
3.833 6.679 0.915
7.103 0.714 6.757
5.785 1.624 2.886
8.420 4.616 5.990
2.516 2.777 1.682
5.151 5.768 4.787
8.340 5.587 7.561
6.939 5.054 4.795
5.064 6.235 3.049
5.866 0.090 1.857
2.596 1.806 0.111
3.997 2.339 2.877
7.267 2.835 2.492
5.872 1.158 4.624
5.070 7.303 5.815
2.603 4.531 1.280
3.669 4.558 5.180
8.333 2.862 6.392
3.833 2.016 5.409
7.103 5.377 2.263
```

Output
The value obtained for the calculated volume is 17.6 A^3/atom. The calculation puts the uncorrected formation energy at -6.94 eV/f.u. The total magnetization comes out at 2.02 Bohr magnetons per cell. Its total energy is -8.905 eV per atom.

***

# 4
The following is a DFT calculation (PBE-GGA) of a relaxed structure of GePtPb.

Cell and atoms, written as POSCAR:
```
GePtPb
1.0
4.584 0.000 0.000
2.292 3.970 0.000
2.292 1.323 3.743
Pt Ge Pb
1 1 1
Cartesian
2.292 1.323 0.936
0.000 0.000 0.000
4.584 2.647 1.872
```

Output
Its formation energy is -0.147 eV per atom. As for the offset from the most stable computed form: 133 meV/atom. The value obtained for the calculated volume is 22.7 A^3/atom. The total magnetization comes out at 0.00 Bohr magnetons per cell. Its total energy is -4.936 eV per atom.

***

# 5
The following is a DFT calculation (PBE-GGA) of a relaxed structure of Nd2NiHg3.

Cell and atoms, written as POSCAR:
```
Nd2NiHg3
1.0
3.638 0.000 0.000
0.000 4.800 0.000
0.000 0.000 8.440
Ni Hg Nd
1 3 2
Cartesian
1.819 2.400 2.715
1.819 0.000 1.513
1.819 2.400 5.415
1.819 0.000 7.040
0.000 0.000 4.059
0.000 2.400 0.359
```

Output
Its formation energy is -0.372 eV per atom. The value obtained for the calculated volume is 24.6 A^3/atom. The total magnetization comes out at 0.00 Bohr magnetons per cell. Its total energy is -3.076 eV per atom.

***

# 6
The following is a DFT calculation (PBE-GGA) of a relaxed structure of CsPa6Te8.

Cell and atoms, written as POSCAR:
```
CsPa6Te8
1.0
8.283 0.047 0.048
-0.212 8.280 0.048
-0.212 -0.218 8.277
Te Cs Pa
8 1 6
Cartesian
5.720 5.902 6.095
5.823 3.025 0.707
2.139 2.207 2.279
0.427 5.839 3.046
2.037 5.084 7.667
5.018 7.593 2.440
2.842 0.516 5.934
7.433 2.270 5.328
0.000 0.000 0.000
3.611 4.885 2.118
4.249 3.224 6.256
4.770 1.995 3.828
1.846 3.670 4.950
6.014 4.438 3.424
3.090 6.113 4.546
```

Output
The value obtained for the calculated volume is 37.9 A^3/atom. The calculation puts the uncorrected formation energy at -9.27 eV/f.u. The total magnetization comes out at 3.21 Bohr magnetons per cell. Its total energy is -6.149 eV per atom.

***

# 7
The following is a DFT calculation (PBE-GGA) of a relaxed structure of Li12MgTl2.

Cell and atoms, written as POSCAR:
```
Li12MgTl2
1.0
5.390 0.000 0.000
0.000 5.390 0.000
0.000 0.000 21.796
Li Mg Tl
24 2 4
Cartesian
2.695 2.695 7.490
0.000 0.000 4.767
2.695 2.695 4.767
3.675 0.980 9.650
4.410 1.715 12.146
0.980 3.675 12.146
1.350 1.346 19.363
0.980 1.715 9.650
0.000 0.000 17.029
2.695 2.695 17.029
4.041 4.045 19.363
0.000 0.000 14.306
1.715 0.980 12.146
4.045 4.041 2.434
1.350 4.045 2.434
2.695 2.695 14.306
0.000 0.000 7.490
1.715 4.410 9.650
4.041 1.346 2.434
4.410 3.675 9.650
1.346 1.350 2.434
1.346 4.041 19.363
3.675 4.410 12.146
4.045 1.350 19.363
2.695 0.000 0.000
0.000 2.695 0.000
0.000 2.695 15.532
2.695 0.000 6.264
2.695 0.000 15.532
0.000 2.695 6.264
```

Output
Its formation energy is 0.042 eV per atom. The value obtained for the calculated volume is 21.1 A^3/atom. The total magnetization comes out at 0.00 Bohr magnetons per cell. Its total energy is -1.911 eV per atom.

***

# 8
The following is a DFT calculation (PBE-GGA) of a relaxed structure of Th2ZrGa.

Cell and atoms, written as POSCAR:
```
Th2ZrGa
1.0
3.352 0.000 0.000
1.676 2.903 0.000
1.676 0.968 11.773
Th Zr Ga
2 1 1
Cartesian
5.027 2.903 3.104
1.676 0.968 8.669
3.352 1.935 5.886
0.000 0.000 0.000
```

Output
Its formation energy is 0.263 eV per atom. As for the offset from the most stable computed form: 431 meV/atom. The value obtained for the calculated volume is 28.6 A^3/atom. The total magnetization comes out at 0.00 Bohr magnetons per cell. Its total energy is -6.340 eV per atom.

***

# 9
The following is a DFT calculation (PBE-GGA) of a relaxed structure of V9Cr3B8.

Cell and atoms, written as POSCAR:
```
V9Cr3B8
1.0
-1.968 -0.541 -2.205
0.362 -5.548 1.038
-8.520 0.832 7.400
B V Cr
8 9 3
Cartesian
-4.698 -0.162 4.233
-2.479 -1.895 2.678
-1.444 -3.239 2.084
-6.714 -1.477 6.355
-3.459 -4.555 4.205
-0.443 -0.570 0.535
-7.715 -4.147 7.903
-5.678 -2.822 5.761
-3.637 -3.752 2.119
-6.489 -1.506 4.114
-2.254 -1.910 0.433
0.181 -2.774 0.519
-8.670 -0.495 5.813
-7.872 -3.348 5.800
-1.456 -4.762 0.421
-5.702 -4.339 4.107
-4.424 -0.919 2.126
-4.079 -2.358 4.219
-1.775 -5.338 2.894
-6.383 0.621 5.544
```

Output
Its formation energy is -0.708 eV per atom. The value obtained for the calculated volume is 9.6 A^3/atom. The total magnetization comes out at 0.00 Bohr magnetons per cell. Its total energy is -8.926 eV per atom.

***

# 10
The following is a DFT calculation (PBE-GGA) of a relaxed structure of Tb2Nd9Th.

Cell and atoms, written as POSCAR:
```
Tb2Nd9Th
1.0
-3.078 -3.881 1.460
0.665 -2.256 -4.597
12.282 -7.657 5.533
Nd Tb Th
9 2 1
Cartesian
2.907 -5.634 0.285
4.602 -5.769 3.497
6.961 -8.161 2.111
0.482 -3.201 1.640
6.473 -4.957 0.468
2.353 -2.388 -1.388
8.722 -8.338 5.353
-1.207 -3.069 -1.569
10.593 -7.526 2.324
4.098 -2.555 1.846
8.184 -5.102 3.687
0.000 0.000 0.000
```

Output
Its formation energy is 0.031 eV per atom. The value obtained for the calculated volume is 34.4 A^3/atom. The total magnetization comes out at 0.00 Bohr magnetons per cell. Its total energy is -4.935 eV per atom.

***

# 11
The following is a DFT calculation (PBE-GGA) of a relaxed structure of MgCd5Pd2.

Cell and atoms, written as POSCAR:
```
MgCd5Pd2
1.0
4.175 0.000 0.000
0.000 6.054 0.000
0.000 0.000 11.971
Pd Cd Mg
4 10 2
Cartesian
2.087 1.603 1.448
2.087 4.630 4.537
2.087 4.451 10.523
2.087 1.424 7.434
0.000 0.000 0.000
0.000 2.997 8.970
0.000 3.027 5.986
2.087 4.529 7.480
0.000 6.023 8.987
2.087 4.551 1.494
2.087 1.502 10.477
0.000 0.030 2.984
0.000 3.057 3.001
2.087 1.525 4.491
0.000 0.000 5.986
0.000 3.027 0.000
```

Output
Its formation energy is -0.274 eV per atom. As for the offset from the most stable computed form: 0 meV/atom. The value obtained for the calculated volume is 18.9 A^3/atom. The total magnetization comes out at 0.00 Bohr magnetons per cell. Its total energy is -2.343 eV per atom.

***

# 12
The following is a DFT calculation (PBE-GGA) of a relaxed structure of CsZrIN2.

Cell and atoms, written as POSCAR:
```
CsZrIN2
1.0
4.433 0.000 0.000
0.000 4.433 0.000
0.000 0.000 6.349
Zr I N Cs
1 1 2 1
Cartesian
2.217 2.217 3.175
0.000 0.000 3.175
2.217 0.000 0.000
0.000 2.217 0.000
0.000 0.000 0.000
```

Output
As for the offset from the most stable computed form: 2073 meV/atom. The value obtained for the calculated volume is 25.0 A^3/atom. The calculation puts the uncorrected formation energy at 11.02 eV/f.u. The total magnetization comes out at 0.00 Bohr magnetons per cell. Its total energy is -3.316 eV per atom.